Material: Pm4CSe2S
Method: DFT, PBE
State: optimized geometry

abc: 3.9845 6.9859 7.1619
angles: 108.60 90.00 90.00
Closest atoms and distances in Å follow each position.
Positions (direct):
Se 0.5000 0.0000 0.5000  6 Pm 3.08-3.13
Se 0.0000 0.5000 0.5000  6 Pm 2.93-2.94
C 0.5000 0.5000 0.0000  6 Pm 2.62-2.67
Pm 0.5000 0.2632 0.2194  1 C 2.62, 2 S 2.82
Pm 0.0000 0.7190 0.2121  2 C 2.67, 1 S 2.84, 1 Se 2.93
Pm 0.0000 0.2810 0.7879  2 C 2.67, 1 S 2.84, 1 Se 2.93
Pm 0.5000 0.7368 0.7806  1 C 2.62, 2 S 2.82
S 0.0000 0.0000 0.0000  6 Pm 2.82-2.84

formation energy without anion corrections = -1.536 eV per atom
total energy = -6.451 eV/atom